# 1
A plane-wave DFT calculation with PBE was carried out for an optimized crystal structure of Pr7Nd3Sm2.

Computed properties:
Calculated density: 6.7 g/cm³
Energy: -56.39 eV per cell
Magnetization: 0.00 μB/cell
Energy above the most stable polymorph in this dataset: 0.0 kJ/mol of formula units

```
Pr7Nd3Sm2
1.0
6.595 0.000 0.000
0.000 3.626 0.000
-1.906 0.000 17.956
Pr Nd Sm
7 3 2
Cartesian
0.000 0.000 0.000
1.156 1.813 3.039
0.744 1.813 8.918
0.215 0.000 14.947
4.474 0.000 3.009
3.945 1.813 9.037
3.533 1.813 14.917
2.346 0.000 6.083
3.297 1.813 0.000
2.343 0.000 11.873
-0.906 1.813 12.021
5.595 1.813 5.935
```

***

# 2
A plane-wave DFT calculation with PBE was carried out for an optimized crystal structure of Pr3Nd2Sm8.

Computed properties:
Calculated density: 7.0 g/cm³
Energy: -59.67 eV per cell
Magnetization: 0.00 μB/cell
Energy above the most stable polymorph in this dataset: 0.0 kJ/mol of formula units

```
Pr3Nd2Sm8
1.0
6.665 -5.940 0.000
6.665 5.940 0.000
-2.477 0.000 5.737
Pr Nd Sm
3 2 8
Cartesian
0.000 0.000 0.000
5.427 3.087 2.868
5.427 -3.087 2.868
3.509 0.000 0.853
7.344 0.000 4.884
2.309 2.897 4.714
0.738 0.000 3.154
8.545 2.897 1.022
4.123 0.000 4.135
6.730 0.000 1.602
2.309 -2.897 4.714
10.115 0.000 2.582
8.545 -2.897 1.022
```

***

# 3
A plane-wave DFT calculation with PBE was carried out for an optimized crystal structure of Pr2Nd2Sm5.

Computed properties:
Calculated density: 7.0 g/cm³
Energy: -82.05 eV per cell
Magnetization: 0.00 μB/cell
Energy above the most stable polymorph in this dataset: 45.4 kJ/mol of formula units

```
Pr2Nd2Sm5
1.0
-7.578 6.058 3.435
7.578 -6.058 3.435
7.578 6.058 -3.435
Pr Nd Sm
4 4 10
Cartesian
0.000 0.000 0.000
7.578 0.000 0.000
11.367 -0.060 0.494
3.789 0.060 0.494
1.912 6.029 0.252
5.666 6.029 0.252
1.912 0.029 3.687
5.666 0.029 3.687
2.164 2.819 -0.924
5.414 2.819 -0.924
3.789 -2.872 2.654
-0.806 2.994 1.255
8.383 2.994 1.255
3.789 8.930 -0.781
2.164 3.239 2.511
5.414 3.239 2.511
0.806 9.123 1.255
-0.806 3.064 4.690
```

***

# 4
A plane-wave DFT calculation with PBE was carried out for an optimized crystal structure of Pr3Nd2Sm7.

Computed properties:
Calculated density: 7.0 g/cm³
Energy: -56.03 eV per cell
Magnetization: 0.00 μB/cell
Energy above the most stable polymorph in this dataset: 0.0 kJ/mol of formula units

```
Pr3Nd2Sm7
1.0
6.501 0.000 0.000
0.000 3.603 0.000
-1.952 0.000 17.866
Pr Nd Sm
3 2 7
Cartesian
0.000 0.000 0.000
-0.975 1.802 11.808
5.524 1.802 6.058
2.242 0.000 5.872
2.307 0.000 11.994
1.159 1.802 2.953
0.612 0.000 8.941
0.162 0.000 14.896
3.250 1.802 0.000
4.387 0.000 2.970
3.937 0.000 8.925
3.390 1.802 14.913
```

***

# 5
A plane-wave DFT calculation with PBE was carried out for an optimized crystal structure of Pr3Nd5Sm3.

Computed properties:
Calculated density: 5.7 g/cm³
Energy: -44.41 eV per cell
Magnetization: 0.00 μB/cell
Energy above the most stable polymorph in this dataset: 13.6 kJ/mol of formula units

```
Pr3Nd5Sm3
1.0
9.830 0.000 0.000
-4.915 8.513 0.000
0.000 0.000 5.579
Pr Nd Sm
3 5 3
Cartesian
-1.778 3.080 0.000
3.556 0.000 0.000
3.137 5.433 0.000
-3.601 6.237 0.000
1.314 2.276 0.000
0.000 5.675 0.000
4.915 2.838 0.000
7.202 0.000 0.000
-2.557 4.428 2.789
2.358 4.085 2.789
5.113 0.000 2.789
```

***

# 6
A plane-wave DFT calculation with PBE was carried out for an optimized crystal structure of PrNd6Sm.

Computed properties:
Calculated density: 6.8 g/cm³
Energy: -38.00 eV per cell
Magnetization: 0.00 μB/cell

```
PrNd6Sm
1.0
5.198 0.000 0.000
0.000 5.198 0.000
0.000 0.000 10.401
Pr Nd Sm
1 6 1
Cartesian
0.000 0.000 0.000
0.000 2.599 2.616
0.000 2.599 7.785
2.599 0.000 2.616
2.599 0.000 7.785
2.599 2.599 0.000
2.599 2.599 5.200
0.000 0.000 5.200
```

***

# 7
A plane-wave DFT calculation with PBE was carried out for an optimized crystal structure of Pr8Nd3Sm4.

Computed properties:
Calculated density: 6.7 g/cm³
Energy: -66.93 eV per cell
Magnetization: 0.00 μB/cell

```
Pr8Nd3Sm4
1.0
7.117 -6.207 0.000
7.117 6.207 0.000
-3.424 0.000 6.098
Pr Nd Sm
8 3 4
Cartesian
2.208 0.000 1.240
7.117 3.674 0.000
1.022 0.000 4.589
5.405 3.070 3.049
5.405 -3.070 3.049
9.789 0.000 1.510
7.117 -3.674 0.000
8.602 0.000 4.859
-1.712 0.000 3.049
1.847 3.104 3.049
1.847 -3.104 3.049
3.559 3.104 0.000
3.559 -3.104 0.000
7.117 0.000 0.000
5.405 0.000 3.049
```

***

# 8
A plane-wave DFT calculation with PBE was carried out for an optimized crystal structure of PrNd8Sm2.

Computed properties:
Calculated density: 6.8 g/cm³
Energy: -50.68 eV per cell
Magnetization: 0.00 μB/cell

```
PrNd8Sm2
1.0
8.528 -3.426 0.000
8.528 3.426 0.000
-1.168 0.000 6.712
Pr Nd Sm
1 8 2
Cartesian
0.000 0.000 0.000
6.328 1.624 3.958
3.799 0.000 2.108
9.561 1.624 2.754
6.868 0.000 0.588
9.021 0.000 6.125
6.328 -1.624 3.958
12.090 0.000 4.605
9.561 -1.624 2.754
2.494 0.000 5.410
13.395 0.000 1.303
```

***

# 9
A plane-wave DFT calculation with PBE was carried out for an optimized crystal structure of Pr3NdSm2.

Computed properties:
Calculated density: 6.8 g/cm³
Energy: -56.93 eV per cell
Magnetization: 0.00 μB/cell
Energy above the most stable polymorph in this dataset: 0.0 kJ/mol of formula units

```
Pr3NdSm2
1.0
5.202 -3.683 0.000
5.202 3.683 0.000
-5.193 0.000 11.057
Pr Nd Sm
6 2 4
Cartesian
1.307 2.766 8.293
-1.291 0.923 10.135
1.305 -0.923 4.606
3.905 0.923 6.451
6.502 -0.923 0.922
3.903 -2.766 2.764
3.903 0.918 2.764
1.307 -0.918 8.293
-1.294 0.922 6.446
1.302 -0.922 0.918
3.909 0.922 10.140
6.505 -0.922 4.611
```

***

# 10
A plane-wave DFT calculation with PBE was carried out for an optimized crystal structure of PrNd3Sm4.

Computed properties:
Calculated density: 7.0 g/cm³
Energy: -75.40 eV per cell
Magnetization: 0.00 μB/cell
Energy above the most stable polymorph in this dataset: 13.7 kJ/mol of formula units

```
PrNd3Sm4
1.0
11.851 0.000 0.000
0.000 7.386 0.000
0.000 0.000 6.389
Pr Nd Sm
2 6 8
Cartesian
0.000 0.930 0.000
5.925 6.456 3.194
0.000 6.452 3.196
2.960 0.934 2.131
2.965 6.452 5.325
5.925 0.934 0.002
8.890 0.934 2.131
8.886 6.452 5.325
0.000 2.780 3.201
0.000 4.606 0.005
2.968 2.780 5.321
2.957 4.606 2.126
5.925 2.780 3.199
5.925 4.606 0.007
8.883 2.780 5.321
8.893 4.606 2.126
```

***

# 11
A plane-wave DFT calculation with PBE was carried out for an optimized crystal structure of Pr5Nd3Sm2.

Computed properties:
Calculated density: 6.6 g/cm³
Energy: -46.07 eV per cell
Magnetization: 0.00 μB/cell
Energy above the most stable polymorph in this dataset: 0.0 kJ/mol of formula units

```
Pr5Nd3Sm2
1.0
5.897 -2.818 0.000
5.897 2.818 0.000
-1.674 0.000 10.922
Pr Nd Sm
5 3 2
Cartesian
0.000 0.000 0.000
1.232 0.000 2.871
2.883 0.000 6.057
7.238 0.000 4.865
8.889 0.000 8.050
-0.837 0.000 5.461
1.655 0.000 9.767
8.465 0.000 1.155
4.759 0.000 2.477
5.361 0.000 8.445
```

***

# 12
A plane-wave DFT calculation with PBE was carried out for an optimized crystal structure of PrNd2Sm3.

Computed properties:
Calculated density: 6.9 g/cm³
Energy: -53.13 eV per cell
Magnetization: 0.00 μB/cell
Energy above the most stable polymorph in this dataset: 151.2 kJ/mol of formula units

```
PrNd2Sm3
1.0
3.526 0.000 0.000
0.000 6.087 0.000
0.000 0.000 19.697
Pr Nd Sm
2 4 6
Cartesian
0.000 0.000 0.000
1.763 3.043 9.849
0.000 0.000 7.073
0.000 0.000 12.624
1.763 3.043 2.776
1.763 3.043 16.922
0.000 0.000 3.717
0.000 0.000 15.980
0.000 3.043 0.000
1.763 0.000 9.849
1.763 3.043 6.132
1.763 3.043 13.566
```